Run A
An optimized crystal structure of PmMgAu2. Source: Alexandria, functional PBE.

It has space group P4/mmm (No. 123), with a = 4.954 Å, b = 4.954 Å, c = 3.626 Å, α = 90.00°, β = 90.00° and γ = 90.00°. The inequivalent atoms are Pm at (0.000, 0.000, 0.000), Mg at (0.500, 0.500, 0.000) and Au at (0.000, 0.500, 0.500).

Run B
An optimized crystal structure of PmMgAu2. Source: Alexandria, functional PBE.

It has space group R-3m (No. 166, hexagonal axes), with a = 4.8010 Å, b = 4.8010 Å, c = 13.3773 Å, α = 90.00°, β = 90.00° and γ = 120.00°. The inequivalent atoms are Pm at (0.0000, 0.0000, 0.0000), Mg at (0.0000, 0.0000, 0.5000) and Au at (0.0000, 0.0000, 0.2280).

Run C
An optimized crystal structure of PmMgAu2. Source: Alexandria, functional PBE.

It has space group P4/mmm (No. 123), with a = 3.505 Å, b = 3.505 Å, c = 7.059 Å, α = 90.00°, β = 90.00° and γ = 90.00°. The inequivalent atoms are Pm at (0.000, 0.000, 0.000), Mg at (0.000, 0.000, 0.500) and Au at (0.500, 0.500, 0.278).

Name the most stable of them. run B.

Run A
An optimized crystal structure of Pm2Mg3Au4. Source: Alexandria, functional PBE.

It has space group Cmce (No. 64), with a = 6.132 Å, b = 16.228 Å, c = 7.992 Å, α = 90.00°, β = 90.00° and γ = 90.00°. The inequivalent atoms are Pm at (0.000, 0.107, 0.091), Mg at (0.000, 0.000, 0.500), Mg at (0.250, 0.221, 0.750), Au at (0.000, 0.179, 0.460) and Au at (0.250, 0.052, 0.750).

Run B
An optimized crystal structure of Pm2Mg3Au4. Source: Alexandria, functional PBE.

It has space group P-1 (No. 2), with a = 4.751 Å, b = 4.761 Å, c = 10.300 Å, α = 89.73°, β = 89.96° and γ = 60.10°. The inequivalent atoms are Pm at (0.168, 0.164, 0.220), Mg at (0.165, 0.170, 0.573), Mg at (0.500, 0.500, 0.000), Au at (0.166, 0.168, 0.924) and Au at (0.498, 0.506, 0.636).

Name the most stable of them. run B.

Run A
An optimized crystal structure of Pm3MgAu4. Source: Alexandria, functional PBE.

It has space group Immm (No. 71), with a = 3.997 Å, b = 6.987 Å, c = 15.067 Å, α = 90.00°, β = 90.00° and γ = 90.00°. The inequivalent atoms are Pm at (0.000, 0.000, 0.000), Pm at (0.000, 0.500, 0.198), Mg at (0.000, 0.000, 0.500) and Au at (0.000, 0.292, 0.376).

Run B
An optimized crystal structure of Pm3MgAu4. Source: Alexandria, functional PBE.

It has space group R-3m (No. 166, hexagonal axes), with a = 5.1244 Å, b = 5.1244 Å, c = 25.1159 Å, α = 90.00°, β = 90.00° and γ = 120.00°. The inequivalent atoms are Pm at (0.0000, 0.0000, 0.0000), Pm at (0.0000, 0.0000, 0.2435), Mg at (0.0000, 0.0000, 0.5000), Au at (0.0000, 0.0000, 0.1222) and Au at (0.0000, 0.0000, 0.3739).

Name the most stable of them. run B.

Run A
An optimized crystal structure of Pm2Mg3Au2. Source: Alexandria, functional PBE.

It has space group C2/m (No. 12), with a = 10.327 Å, b = 4.607 Å, c = 7.597 Å, α = 90.00°, β = 111.78° and γ = 90.00°. The inequivalent atoms are Pm at (0.137, 0.000, 0.285), Mg at (0.000, 0.500, 0.500), Mg at (0.130, 0.500, 0.937) and Au at (0.158, 0.000, 0.708).

Run B
An optimized crystal structure of Pm2Mg3Au2. Source: Alexandria, functional PBE.

It has space group C2/m (No. 12), with a = 10.720 Å, b = 4.323 Å, c = 7.493 Å, α = 90.00°, β = 95.46° and γ = 90.00°. The inequivalent atoms are Pm at (0.123, 0.000, 0.350), Mg at (0.000, 0.500, 0.000), Mg at (0.184, 0.000, 0.867) and Au at (0.094, 0.500, 0.657).

Name the most stable of them. run A.

Run A
An optimized crystal structure of PmPrMgAu. Source: Alexandria, functional PBE.

It has space group P4mm (No. 99), with a = 3.820 Å, b = 3.820 Å, c = 7.466 Å, α = 90.00°, β = 90.00° and γ = 90.00°. The inequivalent atoms are Pm at (0.000, 0.000, 0.000), Pr at (0.000, 0.000, 0.528), Mg at (0.500, 0.500, 0.260) and Au at (0.500, 0.500, 0.776).

Run B
An optimized crystal structure of PmPrMgAu. Source: Alexandria, functional PBE.

It has space group F-43m (No. 216), with a = 7.585 Å, b = 7.585 Å, c = 7.585 Å, α = 90.00°, β = 90.00° and γ = 90.00°. The inequivalent atoms are Pm at (0.000, 0.000, 0.000), Pr at (0.000, 0.000, 0.500), Mg at (0.250, 0.250, 0.750) and Au at (0.250, 0.250, 0.250).

Name the most stable of them. run A.

Run A
An optimized crystal structure of PmSmMgAu. Source: Alexandria, functional PBE.

It has space group F-43m (No. 216), with a = 7.511 Å, b = 7.511 Å, c = 7.511 Å, α = 90.00°, β = 90.00° and γ = 90.00°. The inequivalent atoms are Pm at (0.000, 0.000, 0.000), Sm at (0.000, 0.000, 0.500), Mg at (0.250, 0.250, 0.750) and Au at (0.250, 0.250, 0.250).

Run B
An optimized crystal structure of PmSmMgAu. Source: Alexandria, functional PBE.

It has space group P4mm (No. 99), with a = 3.782 Å, b = 3.782 Å, c = 7.413 Å, α = 90.00°, β = 90.00° and γ = 90.00°. The inequivalent atoms are Pm at (0.000, 0.000, 0.000), Sm at (0.000, 0.000, 0.472), Mg at (0.500, 0.500, 0.734) and Au at (0.500, 0.500, 0.240).

Name the most stable of them. run B.

Run A
An optimized crystal structure of PmYMgAu. Source: Alexandria, functional PBE.

It has space group F-43m (No. 216), with a = 7.448 Å, b = 7.448 Å, c = 7.448 Å, α = 90.00°, β = 90.00° and γ = 90.00°. The inequivalent atoms are Pm at (0.000, 0.000, 0.000), Y at (0.000, 0.000, 0.500), Mg at (0.250, 0.250, 0.250) and Au at (0.250, 0.250, 0.750).

Run B
An optimized crystal structure of PmYMgAu. Source: Alexandria, functional PBE.

It has space group P4mm (No. 99), with a = 3.745 Å, b = 3.745 Å, c = 7.388 Å, α = 90.00°, β = 90.00° and γ = 90.00°. The inequivalent atoms are Pm at (0.000, 0.000, 0.000), Y at (0.000, 0.000, 0.472), Mg at (0.500, 0.500, 0.728) and Au at (0.500, 0.500, 0.251).

Name the most stable of them. run B.

Run A
An optimized crystal structure of Pr2MgAu. Source: Alexandria, functional PBE.

It has space group R-3m (No. 166, hexagonal axes), with a = 3.8769 Å, b = 3.8769 Å, c = 28.6795 Å, α = 90.00°, β = 90.00° and γ = 120.00°. The inequivalent atoms are Pr at (0.0000, 0.0000, 0.2405), Mg at (0.0000, 0.0000, 0.0000) and Au at (0.0000, 0.0000, 0.5000).

Run B
An optimized crystal structure of Pr2MgAu. Source: Alexandria, functional PBE.

It has space group Fm-3m (No. 225), with a = 7.638 Å, b = 7.638 Å, c = 7.638 Å, α = 90.00°, β = 90.00° and γ = 90.00°. The inequivalent atoms are Pr at (0.250, 0.250, 0.250), Mg at (0.000, 0.000, 0.000) and Au at (0.000, 0.000, 0.500).

Name the most stable of them. run B.

Run A
An optimized crystal structure of Mg2PtAu4. Source: Alexandria, functional PBE.

It has space group I-42d (No. 122), with a = 8.032 Å, b = 8.032 Å, c = 8.139 Å, α = 90.00°, β = 90.00° and γ = 90.00°. The inequivalent atoms are Mg at (0.126, 0.250, 0.125), Pt at (0.000, 0.000, 0.500) and Au at (0.086, 0.164, 0.792).

Run B
An optimized crystal structure of Mg2PtAu4. Source: Alexandria, functional PBE.

It has space group I4/mmm (No. 139), with a = 5.656 Å, b = 5.656 Å, c = 8.196 Å, α = 90.00°, β = 90.00° and γ = 90.00°. The inequivalent atoms are Mg at (0.000, 0.500, 0.000), Pt at (0.000, 0.000, 0.000) and Au at (0.250, 0.250, 0.250).

Name the most stable of them. run B.

Run A
An optimized crystal structure of MgPtAu4. Source: Alexandria, functional PBE.

It has space group F-43m (No. 216), with a = 7.692 Å, b = 7.692 Å, c = 7.692 Å, α = 90.00°, β = 90.00° and γ = 90.00°. The inequivalent atoms are Mg at (0.000, 0.000, 0.000), Pt at (0.250, 0.250, 0.750) and Au at (0.125, 0.125, 0.375).

Run B
An optimized crystal structure of MgPtAu4. Source: Alexandria, functional PBE.

It has space group C2/c (No. 15), with a = 8.697 Å, b = 5.082 Å, c = 9.901 Å, α = 90.00°, β = 107.15° and γ = 90.00°. The inequivalent atoms are Mg at (0.250, 0.250, 0.000), Pt at (0.000, 0.081, 0.750), Au at (0.082, 0.246, 0.500) and Au at (0.167, 0.424, 0.250).

Name the most stable of them. run B.

Run A
An optimized crystal structure of PuMgAu4. Source: Alexandria, functional PBE.

It has space group F-43m (No. 216), with a = 7.930 Å, b = 7.930 Å, c = 7.930 Å, α = 90.00°, β = 90.00° and γ = 90.00°. The inequivalent atoms are Pu at (0.000, 0.000, 0.000), Mg at (0.250, 0.250, 0.250) and Au at (0.125, 0.125, 0.625).

Run B
An optimized crystal structure of PuMgAu4. Source: Alexandria, functional PBE.

It has space group P6/mmm (No. 191), with a = 4.7059 Å, b = 4.7059 Å, c = 6.6634 Å, α = 90.00°, β = 90.00° and γ = 120.00°. The inequivalent atoms are Pu at (0.0000, 0.0000, 0.0000), Mg at (0.0000, 0.0000, 0.5000) and Au at (0.3333, 0.6667, 0.2725).

Name the most stable of them. run B.

Run A
An optimized crystal structure of RbMgAu3. Source: Alexandria, functional PBE.

It has space group Pm-3m (No. 221), with a = 5.799 Å, b = 5.799 Å, c = 5.799 Å, α = 90.00°, β = 90.00° and γ = 90.00°. The inequivalent atoms are Rb at (0.000, 0.000, 0.000), Mg at (0.500, 0.500, 0.500) and Au at (0.000, 0.000, 0.500).

Run B
An optimized crystal structure of RbMgAu3. Source: Alexandria, functional PBE.

It has space group Pm-3m (No. 221), with a = 5.252 Å, b = 5.252 Å, c = 5.252 Å, α = 90.00°, β = 90.00° and γ = 90.00°. The inequivalent atoms are Rb at (0.000, 0.000, 0.000), Mg at (0.500, 0.500, 0.500) and Au at (0.000, 0.500, 0.500).

Name the most stable of them. run B.